CdBSb2I meta-GGA SCAN PBEsol geometry; formation energy without anion corrections = 0.85 eV/atom
1.0
4.8381 0.0000 0.0000
0.0000 4.8381 0.0000
0.0000 0.0000 5.0462
Cd B Sb I
1 1 2 1
direct
0.0000 0.0000 0.0000
0.5000 0.5000 0.5000
0.0000 0.5000 0.5000
0.5000 0.0000 0.5000
0.5000 0.5000 0.0000


CdBTeI2 meta-GGA SCAN PBEsol geometry; formation energy without anion corrections = 1.10 eV/atom
1.0
5.6902 0.0000 0.0000
0.0000 5.6902 0.0000
0.0000 0.0000 5.5558
Cd B Te I
1 1 1 2
direct
0.0000 0.0000 0.0000
0.5000 0.5000 0.5000
0.0000 0.0000 0.5000
0.0000 0.5000 0.0000
0.5000 0.0000 0.0000


Li2CdInB meta-GGA SCAN PBEsol geometry; energy relative to the elements = 1.12 eV per atom
1.0
5.0389 0.0000 0.0000
0.0000 5.0389 0.0000
0.0000 0.0000 5.1329
Li Cd In B
2 1 1 1
direct
0.0000 0.5000 0.0000
0.5000 0.0000 0.0000
0.0000 0.0000 0.5000
0.0000 0.0000 0.0000
0.5000 0.5000 0.5000